Density functional theory data (GGA-PBE) for an optimized crystal structure of ZrTaSi3.

Output
Calculated total energy: -0.492 Ry/atom
Distance to the lowest polymorph of the same formula: 0.0 kJ per mole of atoms
Fermi-level density of states: 0.713 states/eV/atom
Uncorrected formation energy: 0.634 eV/atom
Volume: 21.39 Å³ per atom

The structure in CIF format:
```
data_ZrTaSi3
_symmetry_space_group_name_H-M 'P m -3 m'
_symmetry_Int_Tables_number 221
_symmetry_space_group_name_Hall '-P 4 2 3'
_cell_length_a 4.747
_cell_length_b 4.747
_cell_length_c 4.747
_cell_angle_alpha 90.00
_cell_angle_beta 90.00
_cell_angle_gamma 90.00
loop_
_atom_site_label
_atom_site_type_symbol
_atom_site_fract_x
_atom_site_fract_y
_atom_site_fract_z
Zr1 Zr 0.000 0.000 0.000
Ta1 Ta 0.500 0.500 0.500
Si1 Si 0.000 0.500 0.500
```

***

Density functional theory data (GGA-PBE) for an optimized crystal structure of Nd2SmAs3Pt4.

Output
Energy of formation: -901 kJ/mol of formula units
Calculated total energy: -0.454 Ry/atom
Fermi-level density of states: 0.302 states/eV/atom
Volume: 21.34 Å³ per atom

The structure in CIF format:
```
data_Nd2SmAs3Pt4
_symmetry_space_group_name_H-M 'P -4 m 2'
_symmetry_Int_Tables_number 115
_cell_length_a 4.326
_cell_length_b 4.326
_cell_length_c 11.402
_cell_angle_alpha 90.00
_cell_angle_beta 90.00
_cell_angle_gamma 90.00
loop_
_symmetry_equiv_pos_as_xyz
'x,y,z'
'y,-x,-z'
'-x,-y,z'
'-y,x,-z'
'-x,y,z'
'-y,-x,-z'
'x,-y,z'
'y,x,-z'
loop_
_atom_site_label
_atom_site_type_symbol
_atom_site_fract_x
_atom_site_fract_y
_atom_site_fract_z
Nd1 Nd 0.000 0.500 0.212
Sm1 Sm 0.000 0.000 0.500
As1 As 0.000 0.500 0.875
As2 As 0.500 0.500 0.500
Pt1 Pt 0.000 0.000 0.000
Pt2 Pt 0.000 0.500 0.660
Pt3 Pt 0.500 0.500 0.000
```